# 1
The following is a PBE calculation of a relaxed ZrTlIn2Cl8 crystal, from the Alexandria database.

Output
The uncorrected formation energy comes out at -1.241 eV per atom. The calculated total energy is -46.06 eV per cell. Its density of states at the Fermi level is 0.43 states/eV per atom.

Cell: 6.898 6.517 8.862 Å, 89.95 89.99 88.84°
Atoms (fractional coordinates):
Zr (0.000, 0.000, 0.000)
Tl (0.000, 0.000, 0.500)
In (0.500, 0.500, 0.746)
In (0.500, 0.500, 0.254)
Cl (0.144, 0.773, 0.201)
Cl (0.705, 0.787, 0.000)
Cl (0.856, 0.227, 0.201)
Cl (0.856, 0.227, 0.799)
Cl (0.295, 0.213, 0.000)
Cl (0.144, 0.773, 0.799)
Cl (0.639, 0.706, 0.500)
Cl (0.361, 0.294, 0.500)

# 2
The following is a PBE calculation of a relaxed Ac5Pd2Pb crystal, from the Alexandria database.

Output
The calculated total energy is -78.13 eV per cell. The value obtained for the formation energy is -4.427 eV per formula unit. Its density of states at the Fermi level is 0.88 states/eV per atom.

Cell: 8.603 8.598 9.560 Å, 116.72 116.74 90.00°
Atoms (fractional coordinates):
Ac (0.520, 0.702, 0.722)
Ac (0.798, 0.980, 0.278)
Ac (0.000, 0.000, 0.000)
Ac (0.500, 0.500, 0.000)
Ac (0.202, 0.020, 0.722)
Ac (0.702, 0.202, 0.722)
Ac (0.020, 0.520, 0.722)
Ac (0.298, 0.798, 0.278)
Ac (0.980, 0.480, 0.278)
Ac (0.480, 0.298, 0.278)
Pd (0.134, 0.365, 0.000)
Pd (0.634, 0.135, 0.000)
Pd (0.366, 0.865, 0.000)
Pd (0.866, 0.635, 0.000)
Pb (0.750, 0.750, 0.500)
Pb (0.250, 0.250, 0.500)

> calculated total energy of number 1 (ZrTlIn2Cl8)?

-46.06 eV per cell

Please write out number 2 again, unchanged.
The following is a PBE calculation of a relaxed Ac5Pd2Pb crystal, from the Alexandria database.

Output
The calculated total energy is -78.13 eV per cell. The value obtained for the formation energy is -4.427 eV per formula unit. Its density of states at the Fermi level is 0.88 states/eV per atom.

Cell: 8.603 8.598 9.560 Å, 116.72 116.74 90.00°
Atoms (fractional coordinates):
Ac (0.520, 0.702, 0.722)
Ac (0.798, 0.980, 0.278)
Ac (0.000, 0.000, 0.000)
Ac (0.500, 0.500, 0.000)
Ac (0.202, 0.020, 0.722)
Ac (0.702, 0.202, 0.722)
Ac (0.020, 0.520, 0.722)
Ac (0.298, 0.798, 0.278)
Ac (0.980, 0.480, 0.278)
Ac (0.480, 0.298, 0.278)
Pd (0.134, 0.365, 0.000)
Pd (0.634, 0.135, 0.000)
Pd (0.366, 0.865, 0.000)
Pd (0.866, 0.635, 0.000)
Pb (0.750, 0.750, 0.500)
Pb (0.250, 0.250, 0.500)